(1)
A PBEsol-optimized structure of Li2IrSe, computed with meta-GGA SCAN.

a = 3.222 Å, b = 4.121 Å, c = 8.218 Å
α = 90.00°, β = 90.00°, γ = 90.00°
Space group Immm (No. 71)
Inequivalent atoms, fractional coordinates:
Li 0.000 0.000 0.242 x4
Ir 0.000 0.500 0.000 x2
Se 0.000 0.500 0.500 x2

## Properties
- M_tot (μB per atom) = 0.000
- ΔE_f (raw) (kJ/mol of formula units) = -124

(2)
A PBEsol-optimized structure of Li2IrSe, computed with meta-GGA SCAN.

a = 2.825 Å, b = 3.897 Å, c = 5.029 Å
α = 90.00°, β = 90.00°, γ = 90.00°
Space group Pmmm (No. 47)
Inequivalent atoms, fractional coordinates:
Li 0.000 0.000 0.239 x2
Ir 0.500 0.500 0.000 x1
Se 0.500 0.500 0.500 x1

## Properties
- M_tot (μB per atom) = 0.004
- ΔE_f (raw) (kJ/mol of formula units) = -141

(3)
A PBEsol-optimized structure of LiIr2Se, computed with meta-GGA SCAN.

a = 5.376 Å, b = 9.161 Å, c = 2.700 Å
α = 90.00°, β = 119.70°, γ = 90.00°
Space group C2/m (No. 12)
Inequivalent atoms, fractional coordinates:
Li 0.000 0.000 0.000 x2
Ir 0.250 0.250 0.000 x4
Se 0.000 0.500 0.000 x2

## Properties
- M_tot (μB per atom) = 0.000
- ΔE_f (raw) (kJ/mol of formula units) = 26

(4)
A PBEsol-optimized structure of LiIrSe2, computed with meta-GGA SCAN.

a = 3.7731 Å, b = 3.7731 Å, c = 17.7276 Å
α = 90.00°, β = 90.00°, γ = 120.00°
Space group R-3m (No. 166, hexagonal axes)
Inequivalent atoms, fractional coordinates:
Li 0.0000 0.0000 0.0000 x3
Ir 0.0000 0.0000 0.5000 x3
Se 0.0000 0.0000 0.2363 x6

## Properties
- M_tot (μB per atom) = 0.000
- ΔE_f (raw) (kJ/mol of formula units) = -257

(5)
A PBEsol-optimized structure of Li2IrSe, computed with meta-GGA SCAN.

a = 2.910 Å, b = 4.453 Å, c = 4.475 Å
α = 90.00°, β = 90.24°, γ = 90.00°
Space group Pm (No. 6)
Inequivalent atoms, fractional coordinates:
Li 0.000 0.000 0.000 x1
Li 0.008 0.500 0.732 x1
Ir 0.504 0.000 0.484 x1
Se 0.503 0.500 0.273 x1

## Properties
- M_tot (μB per atom) = 0.000
- ΔE_f (raw) (kJ/mol of formula units) = -134

(6)
A PBEsol-optimized structure of Li2IrSe2, computed with meta-GGA SCAN.

a = 6.654 Å, b = 6.654 Å, c = 3.677 Å
α = 90.00°, β = 90.00°, γ = 90.00°
Space group P4/mbm (No. 127)
Inequivalent atoms, fractional coordinates:
Li 0.145 0.355 0.000 x4
Ir 0.000 0.000 0.500 x2
Se 0.168 0.668 0.500 x4

## Properties
- M_tot (μB per atom) = 0.000
- ΔE_f (raw) (kJ/mol of formula units) = -257